(1)
Entry from Alexandria via LeMat-Bulk: a geometry-optimized AcDy2YHo6 structure (PBE).

abc: 8.902 8.902 9.518
angles: 92.65 92.65 118.07
Fractional positions:
Ac1 0.029 0.971 0.750
Ac2 0.971 0.029 0.250
Dy1 0.201 0.316 0.548
Dy2 0.316 0.201 0.048
Dy3 0.684 0.799 0.952
Dy4 0.799 0.684 0.452
Y1 0.412 0.588 0.250
Y2 0.588 0.412 0.750
Ho1 0.018 0.558 0.681
Ho2 0.130 0.750 0.058
Ho3 0.250 0.870 0.442
Ho4 0.287 0.508 0.883
Ho5 0.442 0.982 0.819
Ho6 0.492 0.713 0.617
Ho7 0.508 0.287 0.383
Ho8 0.558 0.018 0.181
Ho9 0.713 0.492 0.117
Ho10 0.750 0.130 0.558
Ho11 0.870 0.250 0.942
Ho12 0.982 0.442 0.319

Properties
DOS at the Fermi energy (states/eV/f.u.): 15.2
Uncorrected energy (eV per formula unit): -45.95
DFT formation energy (eV/atom): 0.13

=====

(2)
Entry from Alexandria via LeMat-Bulk: a geometry-optimized Yb4Mg3H14 structure (PBE).

abc: 6.139 6.139 6.731
angles: 90.00 90.00 120.00
Fractional positions:
Yb1 0.000 0.000 0.234
Yb2 0.000 0.000 0.766
Yb3 0.333 0.667 0.000
Yb4 0.667 0.333 0.000
Mg1 0.000 0.562 0.500
Mg2 0.438 0.438 0.500
Mg3 0.562 0.000 0.500
H1 0.000 0.227 0.500
H2 0.000 0.264 0.000
H3 0.000 0.617 0.216
H4 0.000 0.617 0.784
H5 0.227 0.000 0.500
H6 0.264 0.000 0.000
H7 0.333 0.667 0.500
H8 0.383 0.383 0.216
H9 0.383 0.383 0.784
H10 0.617 0.000 0.216
H11 0.617 0.000 0.784
H12 0.667 0.333 0.500
H13 0.736 0.736 0.000
H14 0.773 0.773 0.500

Properties
Uncorrected energy (eV per formula unit): -67.11

=====

(3)
Entry from Alexandria via LeMat-Bulk: a geometry-optimized K2ZnW structure (PBE).

abc: 6.603 6.603 2.750
angles: 90.00 90.00 90.00
Fractional positions:
K1 0.000 0.500 0.000
K2 0.500 0.000 0.000
Zn1 0.000 0.000 0.500
W1 0.500 0.500 0.500

Properties
DOS at the Fermi energy (states/eV/f.u.): 3.9
Uncorrected energy (eV per formula unit): -10.86
DFT formation energy (eV/atom): 1.39